Material: ScFe2Te
Method: DFT, PBE
State: relaxed

Cell: 3.4920 3.4920 5.7700 Å, 90.00 90.00 90.00°
Last column: magnetic moment on the atom in μB.
Positions (direct):
Fe: 0.0000 0.0000 0.0317  2.73
Fe: 0.5000 0.5000 0.2277  2.45
Sc: 0.0000 0.0000 0.4834  -0.26
Te: 0.5000 0.5000 0.7572  0.08

For the density, the calculation gives 6.71 g cm⁻³. For the size of the total moment, the calculation gives 4.9 μB per cell. The calculation puts the formation energy (no corrections) at -12 meV per atom. The value obtained for the density of states at the Fermi level is 3.01 states/eV/cell.